DFT (PBE) results for a geometry-optimized In2MoCl structure.

CIF file:
```
data_In2MoCl
_chemical_formula_sum 'In2 Mo1 Cl1'
_space_group_name_H-M_alt 'P 1'
_space_group_IT_number 1
_cell_length_a 3.0632
_cell_length_b 3.0632
_cell_length_c 9.6336
_cell_angle_alpha 90.00
_cell_angle_beta 90.00
_cell_angle_gamma 90.00
loop_
_space_group_symop_operation_xyz
'x,y,z'
loop_
_atom_site_label
_atom_site_type_symbol
_atom_site_fract_x
_atom_site_fract_y
_atom_site_fract_z
Cl1 Cl 0.5000 0.5000 0.6655
In1 In 0.0000 0.0000 0.0231
In2 In 0.5000 0.5000 0.2997
Mo1 Mo 0.0000 0.0000 0.5118
```

Summary:
The calculation puts the formation energy from raw total energies at 0.179 eV/atom. The raw total energy is -17.4 eV for the cell shown.